Record 1
## Pr3ThSn3 (PBE-GGA)

Data for crystalline Pr3ThSn3 at its relaxed geometry.

Cell lengths 6.872, 6.872, 9.676 Å; angles 90.09, 90.09, 103.03 degrees
Element x y z (fractional)
Sn 0.023 0.487 0.255
Sn 0.487 0.023 0.255
Sn 0.041 0.041 0.762
Sn 0.513 0.977 0.745
Sn 0.977 0.513 0.745
Sn 0.959 0.959 0.238
Pr 0.186 0.814 0.500
Pr 0.776 0.224 0.000
Pr 0.555 0.555 0.309
Pr 0.224 0.776 0.000
Pr 0.445 0.445 0.691
Pr 0.814 0.186 0.500
Th 0.286 0.286 0.028
Th 0.714 0.714 0.972

Output
As for the space group: C2/m, No. 12. As for the energy of formation from the pure elements: -465 meV/atom. The value obtained for the electronic total energy is -37.02 eV per formula unit.

***

Record 2
## Li2HoGa2Si2 (PBE-GGA)

Data for crystalline Li2HoGa2Si2 at its relaxed geometry.

Cell lengths 4.238, 4.238, 8.068 Å; angles 74.77, 74.77, 60.00 degrees
Element x y z (fractional)
Ho 0.000 0.000 0.000
Li 0.857 0.857 0.429
Li 0.143 0.143 0.571
Ga 0.562 0.562 0.313
Ga 0.438 0.438 0.687
Si 0.259 0.259 0.224
Si 0.741 0.741 0.776

Output
As for the space group: R-3m, No. 166. For the formation energy without anion corrections, the calculation gives -2.375 eV per formula unit. The value obtained for the electronic total energy is -27.68 eV per formula unit.

***

Record 3
## CaMgCd2Hg4 (PBE-GGA)

Data for crystalline CaMgCd2Hg4 at its relaxed geometry.

Cell lengths 5.108, 5.108, 8.878 Å; angles 73.28, 73.28, 60.00 degrees
Element x y z (fractional)
Mg 0.500 0.500 0.500
Cd 0.745 0.745 0.765
Cd 0.255 0.255 0.235
Hg 0.617 0.617 0.150
Hg 0.132 0.132 0.605
Hg 0.868 0.868 0.395
Hg 0.383 0.383 0.850
Ca 0.000 0.000 0.000

Output
As for the space group: R-3m, No. 166. As for the energy of formation from the pure elements: -228 meV/atom. The value obtained for the electronic total energy is -8.46 eV per formula unit.